Record 1
PuSi2Pd6: optimized geometry, PBE.

Summary:
Fermi-level density of states (states/eV/cell): 20.56
E_tot (eV per atom): -6.727
Formation energy (no corrections) (eV per atom): -0.47

Cell lengths 5.5797, 5.5797, 6.3351 Å; angles 90.00, 90.00, 120.00 degrees
Space group P6/mmm (No. 191)
Asymmetric unit:
1 Pu 0.0000 0.0000 0.0000
2 Si 0.3333 0.6667 0.5000
3 Pd 0.0000 0.5000 0.2196



Record 2
Pu2Si3Pd9: optimized geometry, PBE.

Summary:
Fermi-level density of states (states/eV/cell): 142.88
E_tot (eV per atom): -7.182
Formation energy (no corrections) (eV per atom): -0.63

Cell lengths 13.3717, 7.5896, 10.1659 Å; angles 90.00, 115.96, 90.00 degrees
Space group C2/c (No. 15)
Asymmetric unit:
1 Pu 0.1729 0.0868 0.2472
2 Si 0.0855 0.2441 0.5017
3 Si 0.2500 0.2500 0.0000
4 Pd 0.0000 0.3590 0.2500
5 Pd 0.0571 0.0673 0.9203
6 Pd 0.0985 0.4081 0.0387
7 Pd 0.1072 0.3152 0.7471
8 Pd 0.2299 0.4124 0.4316



Record 3
Pu2Si2Pd5: optimized geometry, PBE.

Summary:
Fermi-level density of states (states/eV/cell): 31.42
E_tot (eV per atom): -7.917
Formation energy (no corrections) (eV per atom): -0.64

Cell lengths 4.2044, 4.2044, 9.1020 Å; angles 90.00, 90.00, 90.00 degrees
Space group P4/mmm (No. 123)
Asymmetric unit:
1 Pu 0.0000 0.0000 0.0000
2 Pu 0.0000 0.0000 0.5000
3 Si 0.5000 0.5000 0.1301
4 Pd 0.0000 0.5000 0.2679
5 Pd 0.5000 0.5000 0.5000



Record 4
PuSiPd: optimized geometry, PBE.

Summary:
Fermi-level density of states (states/eV/cell): 11.51
E_tot (eV per atom): -8.914
Formation energy (no corrections) (eV per atom): -0.60

Cell lengths 4.3242, 4.3242, 3.6718 Å; angles 90.00, 90.00, 120.00 degrees
Space group P-6m2 (No. 187)
Asymmetric unit:
1 Pu 0.0000 0.0000 0.0000
2 Si 0.6667 0.3333 0.5000
3 Pd 0.3333 0.6667 0.5000



Record 5
Pu2Si6Pd21: optimized geometry, PBE.

Summary:
Fermi-level density of states (states/eV/cell): 182.35
E_tot (eV per atom): -6.493
Formation energy (no corrections) (eV per atom): -0.62

Cell lengths 12.2727, 12.2727, 12.2727 Å; angles 90.00, 90.00, 90.00 degrees
Space group Fm-3m (No. 225)
Asymmetric unit:
1 Pu 0.2500 0.2500 0.2500
2 Si 0.0000 0.0000 0.2355
3 Pd 0.0000 0.0000 0.5000
4 Pd 0.0000 0.1723 0.3277
5 Pd 0.1157 0.1157 0.1157



Record 6
PuSiPd3: optimized geometry, PBE.

Summary:
Energy relative to the lowest polymorph listed for this composition (eV per atom): 0.000
Fermi-level density of states (states/eV/cell): 29.10
E_tot (eV per atom): -7.605
Formation energy (no corrections) (eV per atom): -0.54

Cell lengths 4.5690, 6.3546, 6.1529 Å; angles 90.00, 90.00, 90.00 degrees
Space group Pmmn (No. 59, origin choice 2)
Asymmetric unit:
1 Pu 0.2500 0.2500 0.2057
2 Si 0.2500 0.7500 0.4434
3 Pd 0.2500 0.0404 0.6923
4 Pd 0.2500 0.7500 0.0680



Record 7
Pu2SiPd2: optimized geometry, PBE.

Summary:
Fermi-level density of states (states/eV/cell): 62.58
E_tot (eV per atom): -9.178
Formation energy (no corrections) (eV per atom): -0.28

Cell lengths 4.2617, 4.2617, 22.6482 Å; angles 90.00, 90.00, 90.00 degrees
Space group I4_1/amd (No. 141, origin choice 2)
Asymmetric unit:
1 Pu 0.0000 0.2500 0.0412
2 Si 0.0000 0.2500 0.3750
3 Pd 0.0000 0.2500 0.1844



Record 8
PuSiPd6: optimized geometry, PBE.

Summary:
Fermi-level density of states (states/eV/cell): 54.27
E_tot (eV per atom): -6.620
Formation energy (no corrections) (eV per atom): -0.26

Cell lengths 5.6371, 5.6371, 17.1061 Å; angles 90.00, 90.00, 120.00 degrees
Space group R-3m (No. 166, hexagonal axes)
Asymmetric unit:
1 Pu 0.0000 0.0000 0.0000
2 Si 0.0000 0.0000 0.5000
3 Pd 0.0151 0.5076 0.9219



Record 9
PuSi2Pd3: optimized geometry, PBE.

Summary:
Fermi-level density of states (states/eV/cell): 48.44
E_tot (eV per atom): -7.454
Formation energy (no corrections) (eV per atom): -0.66

Cell lengths 15.3678, 4.0331, 7.4383 Å; angles 90.00, 115.55, 90.00 degrees
Space group C2/m (No. 12)
Asymmetric unit:
1 Pu 0.1556 0.0000 0.0706
2 Si 0.0177 0.5000 0.1681
3 Si 0.1884 0.0000 0.6808
4 Pd 0.0414 0.0000 0.3590
5 Pd 0.1008 0.5000 0.6959
6 Pd 0.1830 0.5000 0.4285



Record 10
Pu2SiPd2: optimized geometry, PBE.

Summary:
Fermi-level density of states (states/eV/cell): 34.94
E_tot (eV per atom): -9.434
Formation energy (no corrections) (eV per atom): -0.54

Cell lengths 4.2811, 5.4585, 8.8014 Å; angles 90.00, 90.00, 90.00 degrees
Space group Immm (No. 71)
Asymmetric unit:
1 Pu 0.0000 0.0000 0.1976
2 Si 0.0000 0.5000 0.0000
3 Pd 0.0000 0.2543 0.5000



Record 11
Pu2Si3Pd: optimized geometry, PBE.

Summary:
Fermi-level density of states (states/eV/cell): 110.43
E_tot (eV per atom): -8.770
Formation energy (no corrections) (eV per atom): -0.42

Cell lengths 5.6702, 8.3597, 18.4372 Å; angles 90.00, 90.00, 90.00 degrees
Space group Fmmm (No. 69)
Asymmetric unit:
1 Pu 0.2479 0.0000 0.0000
2 Pu 0.2500 0.2500 0.2500
3 Si 0.0000 0.0000 0.1605
4 Si 0.0000 0.2449 0.0901
5 Pd 0.0000 0.0000 0.3450



Record 12
Pu2SiPd: optimized geometry, PBE.

Summary:
Fermi-level density of states (states/eV/cell): 96.34
E_tot (eV per atom): -10.279
Formation energy (no corrections) (eV per atom): -0.46

Cell lengths 8.1658, 8.8993, 9.0378 Å; angles 90.00, 90.00, 90.00 degrees
Space group Fmmm (No. 69)
Asymmetric unit:
1 Pu 0.1900 0.0000 0.0000
2 Pu 0.2500 0.2500 0.2500
3 Si 0.0000 0.0000 0.2920
4 Pd 0.0000 0.1936 0.5000



Record 13
PuSiPd4: optimized geometry, PBE.

Summary:
Fermi-level density of states (states/eV/cell): 31.16
E_tot (eV per atom): -7.318
Formation energy (no corrections) (eV per atom): -0.56

Cell lengths 7.7262, 3.8917, 6.9047 Å; angles 90.00, 90.00, 90.00 degrees
Space group Pmma (No. 51)
Asymmetric unit:
1 Pu 0.2500 0.0000 0.1298
2 Si 0.2500 0.0000 0.7080
3 Pd 0.0000 0.0000 0.5000
4 Pd 0.0615 0.5000 0.8064
5 Pd 0.2500 0.5000 0.4476



Record 14
PuSi3Pd3: optimized geometry, PBE.

Summary:
Fermi-level density of states (states/eV/cell): 22.19
E_tot (eV per atom): -7.025
Formation energy (no corrections) (eV per atom): -0.43

Cell lengths 8.3630, 4.1251, 8.4782 Å; angles 90.00, 116.42, 90.00 degrees
Space group P2_1/m (No. 11)
Asymmetric unit:
1 Pu 0.1708 0.2500 0.3233
2 Si 0.0567 0.2500 0.6060
3 Si 0.1444 0.7500 0.0557
4 Si 0.4408 0.7500 0.5549
5 Pd 0.1460 0.2500 0.9136
6 Pd 0.2291 0.7500 0.6690
7 Pd 0.4543 0.7500 0.2713



Record 15
Pu3Si4Pd7: optimized geometry, PBE.

Summary:
Fermi-level density of states (states/eV/cell): 80.88
E_tot (eV per atom): -7.896
Formation energy (no corrections) (eV per atom): -0.68

Cell lengths 15.6801, 3.9987, 9.6175 Å; angles 90.00, 125.53, 90.00 degrees
Space group C2/m (No. 12)
Asymmetric unit:
1 Pu 0.0000 0.0000 0.0000
2 Pu 0.1759 0.5000 0.6747
3 Si 0.1100 0.0000 0.8288
4 Si 0.1636 0.5000 0.2662
5 Pd 0.0000 0.0000 0.5000
6 Pd 0.0088 0.5000 0.2801
7 Pd 0.1690 0.0000 0.4233
8 Pd 0.1920 0.5000 0.0316



Record 16
SmPuSiPd: optimized geometry, PBE.

Summary:
Fermi-level density of states (states/eV/cell): 41.02
E_tot (eV per atom): -7.871
Formation energy (no corrections) (eV per atom): -0.45

Cell lengths 7.1339, 7.1339, 7.1339 Å; angles 90.00, 90.00, 90.00 degrees
Space group F-43m (No. 216)
Asymmetric unit:
1 Sm 0.0000 0.0000 0.0000
2 Pu 0.0000 0.0000 0.5000
3 Si 0.2500 0.2500 0.7500
4 Pd 0.2500 0.2500 0.2500



Record 17
Pu2Si3SnPd4: optimized geometry, PBE.

Summary:
Fermi-level density of states (states/eV/cell): 27.97
E_tot (eV per atom): -7.579
Formation energy (no corrections) (eV per atom): -0.61

Cell lengths 4.1755, 4.1755, 10.7488 Å; angles 90.00, 90.00, 90.00 degrees
Space group P-4m2 (No. 115)
Asymmetric unit:
1 Pu 0.0000 0.5000 0.2377
2 Si 0.0000 0.5000 0.8736
3 Si 0.5000 0.5000 0.5000
4 Sn 0.0000 0.0000 0.5000
5 Pd 0.0000 0.0000 0.0000
6 Pd 0.0000 0.5000 0.6508
7 Pd 0.5000 0.5000 0.0000



Record 18
Pu2SiSnPd6: optimized geometry, PBE.

Summary:
Fermi-level density of states (states/eV/cell): 53.45
E_tot (eV per atom): -7.419
Formation energy (no corrections) (eV per atom): -0.49

Cell lengths 11.4945, 5.5230, 7.8204 Å; angles 90.00, 129.42, 90.00 degrees
Space group C2/m (No. 12)
Asymmetric unit:
1 Pu 0.0031 0.0000 0.2538
2 Si 0.0000 0.5000 0.5000
3 Sn 0.0000 0.5000 0.0000
4 Pd 0.1743 0.5000 0.4312
5 Pd 0.2348 0.2540 0.7935



Record 19
Pu2Th2Si4Pd: optimized geometry, PBE.

Summary:
Fermi-level density of states (states/eV/cell): 32.39
E_tot (eV per atom): -8.132
Formation energy (no corrections) (eV per atom): -0.31

Cell lengths 6.9176, 6.9176, 8.4165 Å; angles 90.00, 90.00, 90.00 degrees
Space group I4/mmm (No. 139)
Asymmetric unit:
1 Pu 0.0000 0.0000 0.1698
2 Th 0.0000 0.5000 0.2500
3 Si 0.2445 0.2445 0.5000
4 Pd 0.0000 0.0000 0.5000



Record 20
PuZn2SiPd4: optimized geometry, PBE.

Summary:
Fermi-level density of states (states/eV/cell): 51.48
E_tot (eV per atom): -5.852
Formation energy (no corrections) (eV per atom): -0.47

Cell lengths 4.3312, 4.3312, 25.0852 Å; angles 90.00, 90.00, 120.00 degrees
Space group R-3m (No. 166, hexagonal axes)
Asymmetric unit:
1 Pu 0.0000 0.0000 0.0000
2 Zn 0.0000 0.0000 0.2455
3 Si 0.0000 0.0000 0.5000
4 Pd 0.0000 0.0000 0.1357
5 Pd 0.0000 0.0000 0.4037



Record 21
Pu2ZnSiPd6: optimized geometry, PBE.

Summary:
Fermi-level density of states (states/eV/cell): 163.85
E_tot (eV per atom): -6.903
Formation energy (no corrections) (eV per atom): -0.25

Cell lengths 9.3221, 9.3221, 9.3221 Å; angles 90.00, 90.00, 90.00 degrees
Space group Fm-3m (No. 225)
Asymmetric unit:
1 Pu 0.2500 0.2500 0.2500
2 Zn 0.0000 0.0000 0.0000
3 Si 0.0000 0.0000 0.5000
4 Pd 0.0000 0.0000 0.2567